Entry 1:
VASP calculation (PBE) on a relaxed TlRh2Au crystal.

Calculated values
space-group type = No. 216
spin magnetization = 0.93 Bohr magnetons per cell
calculated formation energy = 0.275 eV per atom

```
4
Lattice="0.0000 3.2589 3.2589 3.2589 0.0000 3.2589 3.2589 3.2589 0.0000" Properties=species:S:1:pos:R:3 pbc="T T T"
Rh 0.0000 0.0000 0.0000
Rh 4.8883 4.8883 4.8883
Tl 1.6294 1.6294 1.6294
Au 3.2589 3.2589 3.2589
```

---

Entry 2:
VASP calculation (PBE) on a relaxed Er2Ga2CuNi5 crystal.

Calculated values
space-group type = No. 127
spin magnetization = 0.00 Bohr magnetons per cell
calculated formation energy = -0.294 eV per atom

```
20
Lattice="-2.3189 -1.2557 -2.1157 -0.3687 -7.9171 5.1031 -6.8498 3.7309 5.2933" Properties=species:S:1:pos:R:3 pbc="T T T"
Ni -5.0764 -0.9596 3.4322
Ni -6.1340 -2.4278 5.4627
Ni -1.6119 -1.9751 0.2377
Ni -7.9255 -3.4668 8.0430
Ni -4.5844 1.2376 1.5888
Ni -4.4610 -4.4823 4.8485
Ni -3.4035 -3.0141 2.8180
Ni -6.6850 1.9313 3.4794
Ni -2.8525 -7.3732 4.8013
Ni -1.3438 -4.5864 1.4937
Ga -2.9005 -5.5337 6.4634
Ga -4.3181 1.3475 3.9330
Ga -6.2323 -1.6688 7.8213
Ga -0.9863 -2.5174 2.5751
Cu -3.6093 -2.0931 5.1982
Cu 0.0000 0.0000 0.0000
Er -2.2894 -0.1753 2.6133
Er -5.7695 0.5058 6.0234
Er -4.9291 -4.0109 7.7831
Er -1.4491 -4.6920 4.3730
```

---

Entry 3:
VASP calculation (PBE) on a relaxed Sm7Y3Tm2 crystal.

Calculated values
space-group type = No. 166
spin magnetization = 0.00 Bohr magnetons per cell
calculated formation energy = 0.274 eV per atom

```
12
Lattice="6.4106 0.0000 1.4096 3.0503 5.6384 1.4096 0.7852 0.4680 11.7109" Properties=species:S:1:pos:R:3 pbc="T T T"
Sm 2.8789 3.6610 9.6901
Sm 5.6563 5.3162 4.8400
Sm 5.1231 3.0532 7.2651
Sm 4.1032 2.4454 4.1223
Sm 4.5898 0.7901 9.6901
Sm 6.1430 3.6610 10.4079
Sm 7.3673 2.4454 4.8400
Tm 6.3021 3.7559 1.9030
Tm 3.9440 2.3505 12.6272
Y 0.0000 0.0000 0.0000
Y 1.8602 1.1086 6.8221
Y 8.3860 4.9977 7.7080
```